A plane-wave DFT calculation with GGA-PBE was carried out for Mg4Te after structural relaxation.

a = 3.926 Å, b = 3.926 Å, c = 11.750 Å
α = 90.00°, β = 90.00°, γ = 120.00°
Fractional positions:
Mg1 0.333 0.667 0.152
Mg2 0.333 0.667 0.403
Mg3 0.667 0.333 0.597
Mg4 0.667 0.333 0.848
Te1 0.000 0.000 0.000

Calculated values
The volume comes out at 156.9 Å³ per cell. The calculation puts the relative energy among the computed polymorphs at 0.063 eV per atom. The density of states at the Fermi level comes out at 3.27 states/eV/cell. The electronic total energy comes out at -1.856 eV/atom. As for the raw formation energy: 0.048 eV per atom.

=====

A plane-wave DFT calculation with GGA-PBE was carried out for Pm3Sc after structural relaxation.

a = 3.423 Å, b = 3.463 Å, c = 11.068 Å
α = 90.00°, β = 90.00°, γ = 90.00°
Fractional positions:
Pm1 0.000 0.000 0.000
Pm2 0.000 0.500 0.284
Pm3 0.500 0.500 0.760
Sc1 0.500 0.000 0.501

Calculated values
The volume comes out at 131.2 Å³ per cell. The calculation puts the relative energy among the computed polymorphs at 0.195 eV per atom. The density of states at the Fermi level comes out at 7.60 states/eV/cell. The energy of formation comes out at 0.2329 eV/atom. The electronic total energy comes out at -4.913 eV/atom.

=====

A plane-wave DFT calculation with GGA-PBE was carried out for AcEr2Th after structural relaxation.

a = 5.958 Å, b = 5.958 Å, c = 3.849 Å
α = 90.00°, β = 90.00°, γ = 90.00°
Fractional positions:
Ac1 0.000 0.000 0.000
Er1 0.000 0.500 0.500
Er2 0.500 0.000 0.500
Th1 0.500 0.500 0.000

Calculated values
The volume comes out at 136.6 Å³ per cell. The calculation puts the relative energy among the computed polymorphs at 0.088 eV per atom. The density of states at the Fermi level comes out at 4.54 states/eV/cell. The energy of formation comes out at 0.1274 eV/atom. The electronic total energy comes out at -5.036 eV/atom.

=====

A plane-wave DFT calculation with GGA-PBE was carried out for ScCrC2 after structural relaxation.

a = 5.731 Å, b = 5.731 Å, c = 5.731 Å
α = 131.08°, β = 131.08°, γ = 71.69°
Fractional positions:
Sc1 0.000 0.000 0.000
Sc2 0.750 0.250 0.500
Cr1 0.250 0.750 0.500
Cr2 0.500 0.500 0.000
C1 0.192 0.625 0.067
C2 0.375 0.442 0.567
C3 0.558 0.125 0.933
C4 0.875 0.808 0.433

Calculated values
The volume comes out at 104.7 Å³ per cell. The density of states at the Fermi level comes out at 6.26 states/eV/cell. The energy of formation comes out at 0.1921 eV/atom. The electronic total energy comes out at -8.409 eV/atom.

=====

A plane-wave DFT calculation with GGA-PBE was carried out for Na4GaSb2 after structural relaxation.

a = 8.481 Å, b = 8.481 Å, c = 8.481 Å
α = 141.07°, β = 141.07°, γ = 56.23°
Fractional positions:
Na1 0.000 0.500 0.500
Na2 0.196 0.196 0.000
Na3 0.500 0.000 0.500
Na4 0.804 0.804 0.000
Ga1 0.000 0.000 0.000
Sb1 0.402 0.402 0.000
Sb2 0.598 0.598 0.000

Calculated values
The volume comes out at 238.9 Å³ per cell. The calculation puts the relative energy among the computed polymorphs at 0.323 eV per atom. The density of states at the Fermi level comes out at 4.42 states/eV/cell. The electronic total energy comes out at -2.295 eV/atom. As for the raw formation energy: 0.069 eV per atom.

=====

A plane-wave DFT calculation with GGA-PBE was carried out for Tb6Sm2Y3Tm after structural relaxation.

a = 6.178 Å, b = 6.178 Å, c = 11.833 Å
α = 94.97°, β = 94.97°, γ = 119.96°
Fractional positions:
Tb1 0.084 0.416 0.750
Tb2 0.249 0.249 0.250
Tb3 0.416 0.084 0.750
Tb4 0.584 0.916 0.250
Tb5 0.751 0.751 0.750
Tb6 0.916 0.584 0.250
Sm1 0.333 0.667 0.500
Sm2 0.667 0.333 0.500
Y1 0.166 0.834 0.000
Y2 0.500 0.500 0.000
Y3 0.834 0.166 0.000
Tm1 0.000 0.000 0.500

Calculated values
The volume comes out at 385.3 Å³ per cell. The density of states at the Fermi level comes out at 16.02 states/eV/cell. The energy of formation comes out at 0.0165 eV/atom. The electronic total energy comes out at -5.074 eV/atom.

=====

A plane-wave DFT calculation with GGA-PBE was carried out for PmSm2Dy6Ho3 after structural relaxation.

a = 6.166 Å, b = 6.166 Å, c = 11.788 Å
α = 94.98°, β = 94.98°, γ = 119.96°
Fractional positions:
Pm1 0.000 0.000 0.000
Sm1 0.333 0.667 0.000
Sm2 0.667 0.333 0.000
Dy1 0.085 0.419 0.253
Dy2 0.248 0.248 0.747
Dy3 0.419 0.085 0.253
Dy4 0.581 0.915 0.747
Dy5 0.752 0.752 0.253
Dy6 0.915 0.581 0.747
Ho1 0.167 0.833 0.500
Ho2 0.500 0.500 0.500
Ho3 0.833 0.167 0.500

Calculated values
The volume comes out at 382.4 Å³ per cell. The density of states at the Fermi level comes out at 15.36 states/eV/cell. The energy of formation comes out at 0.0167 eV/atom. The electronic total energy comes out at -4.611 eV/atom.

=====

A plane-wave DFT calculation with GGA-PBE was carried out for SmSn3Rh3 after structural relaxation.

a = 7.162 Å, b = 7.162 Å, c = 7.162 Å
α = 68.93°, β = 68.93°, γ = 68.93°
Fractional positions:
Sm1 0.169 0.169 0.169
Sm2 0.831 0.831 0.831
Sn1 0.083 0.382 0.702
Sn2 0.298 0.917 0.618
Sn3 0.382 0.702 0.083
Sn4 0.618 0.298 0.917
Sn5 0.702 0.083 0.382
Sn6 0.917 0.618 0.298
Rh1 0.108 0.773 0.444
Rh2 0.227 0.556 0.892
Rh3 0.444 0.108 0.773
Rh4 0.556 0.892 0.227
Rh5 0.773 0.444 0.108
Rh6 0.892 0.227 0.556

Calculated values
The volume comes out at 308.5 Å³ per cell. The calculation puts the relative energy among the computed polymorphs at 0.000 eV per atom. The density of states at the Fermi level comes out at 10.06 states/eV/cell. The energy of formation comes out at -0.4712 eV/atom. The electronic total energy comes out at -6.011 eV/atom.

=====

A plane-wave DFT calculation with GGA-PBE was carried out for MnZnSe2N after structural relaxation.

a = 4.988 Å, b = 4.988 Å, c = 3.466 Å
α = 90.00°, β = 90.00°, γ = 90.00°
Fractional positions:
Mn1 0.000 0.000 0.000
Zn1 0.500 0.500 0.500
Se1 0.000 0.500 0.000
Se2 0.500 0.000 0.000
N1 0.000 0.000 0.500

Calculated values
The volume comes out at 86.3 Å³ per cell. The calculation puts the relative energy among the computed polymorphs at 0.000 eV per atom. The density of states at the Fermi level comes out at 2.72 states/eV/cell. The electronic total energy comes out at -4.973 eV/atom. As for the raw formation energy: 0.174 eV per atom.

=====

A plane-wave DFT calculation with GGA-PBE was carried out for ScCdPb2Se after structural relaxation.

a = 5.783 Å, b = 5.783 Å, c = 5.012 Å
α = 90.00°, β = 90.00°, γ = 90.00°
Fractional positions:
Sc1 0.000 0.000 0.000
Cd1 0.500 0.500 0.500
Pb1 0.000 0.500 0.000
Pb2 0.500 0.000 0.000
Se1 0.000 0.000 0.500

Calculated values
The volume comes out at 167.6 Å³ per cell. The density of states at the Fermi level comes out at 4.74 states/eV/cell. The electronic total energy comes out at -3.659 eV/atom. As for the raw formation energy: -0.029 eV per atom.

=====

A plane-wave DFT calculation with GGA-PBE was carried out for Pa4CuSi8 after structural relaxation.

a = 3.898 Å, b = 3.980 Å, c = 16.013 Å
α = 90.00°, β = 90.00°, γ = 90.00°
Fractional positions:
Pa1 0.000 0.000 0.000
Pa2 0.000 0.500 0.491
Pa3 0.500 0.000 0.210
Pa4 0.500 0.500 0.701
Cu1 0.500 0.500 0.922
Si1 0.000 0.000 0.351
Si2 0.000 0.000 0.641
Si3 0.000 0.500 0.151
Si4 0.000 0.500 0.840
Si5 0.500 0.000 0.551
Si6 0.500 0.000 0.841
Si7 0.500 0.500 0.067
Si8 0.500 0.500 0.351

Calculated values
The volume comes out at 248.5 Å³ per cell. The density of states at the Fermi level comes out at 13.20 states/eV/cell. The electronic total energy comes out at -6.967 eV/atom. As for the raw formation energy: -0.393 eV per atom.

=====

A plane-wave DFT calculation with GGA-PBE was carried out for InReH2 after structural relaxation.

a = 6.315 Å, b = 6.315 Å, c = 6.315 Å
α = 142.65°, β = 142.65°, γ = 53.85°
Fractional positions:
In1 0.000 0.000 0.000
In2 0.750 0.250 0.500
Re1 0.250 0.750 0.500
Re2 0.500 0.500 0.000
H1 0.275 0.625 0.150
H2 0.375 0.525 0.650
H3 0.475 0.125 0.850
H4 0.875 0.725 0.350

Calculated values
The volume comes out at 92.1 Å³ per cell. The calculation puts the relative energy among the computed polymorphs at 0.000 eV per atom. The density of states at the Fermi level comes out at 4.25 states/eV/cell. The electronic total energy comes out at -4.855 eV/atom.